<A>
# TmPaSb

A relaxed structure of TmPaSb (PBE, the Alexandria database).

## Properties
Its total magnetic moment is 0.80 Bohr magnetons per cell. The calculation puts the density of states at the Fermi level at 5.27 states/eV/cell. The space group is I4mm, No. 107. The density is 10.659 Mg/m³.

Lattice parameters (Å, degrees): 6.0793 6.0793 6.0793 142.89 142.89 53.50
With the nearest neighbours (Å) after each atom.
Fractional positions:
Tm: 0.0000 0.0000 0.0000  4 Sb 3.15, 5 Pa 3.30-3.47
Pa: 0.3039 0.3039 0.0000  4 Sb 3.24, 5 Tm 3.30-3.47
Sb: 0.6438 0.6438 0.0000  4 Tm 3.15, 4 Pa 3.24

***

<B>
# TmPaSb

A relaxed structure of TmPaSb (PBE, the Alexandria database).

## Properties
Its total magnetic moment is 1.46 Bohr magnetons per cell. The calculation puts the density of states at the Fermi level at 5.89 states/eV/cell. The space group is P3m1, No. 156. The density is 10.645 Mg/m³.

Lattice parameters (Å, degrees): 5.2343 5.2343 3.4300 90.00 90.00 120.00
With the nearest neighbours (Å) after each atom.
Fractional positions:
Tm: 0.0000 0.0000 0.0000  3 Sb 3.08, 2 Tm 3.43, 3 Pa 3.45
Pa: 0.3333 0.6667 0.5151  3 Sb 3.24, 2 Pa 3.43, 6 Tm 3.45-3.50
Sb: 0.6667 0.3333 0.1751  3 Tm 3.08, 3 Pa 3.24, 2 Sb 3.43

***

Which of them is the least stable? Correct choice: <B>.

***

<A>
# Tm2PaSb

A relaxed structure of Tm2PaSb (PBE, the Alexandria database).

## Properties
Its total magnetic moment is 0.00 Bohr magnetons per cell. The calculation puts the density of states at the Fermi level at 3.31 states/eV/cell. The space group is P4/mmm, No. 123. The density is 10.911 Mg/m³.

Lattice parameters (Å, degrees): 3.8178 3.8178 7.2117 90.00 90.00 90.00
With the nearest neighbours (Å) after each atom.
Fractional positions:
Tm: 0.0000 0.0000 0.2283  4 Sb 3.16, 1 Tm 3.29, 4 Pa 3.34
Tm: 0.0000 0.0000 0.7717  4 Sb 3.16, 1 Tm 3.29, 4 Pa 3.34
Pa: 0.5000 0.5000 0.5000  8 Tm 3.34, 2 Sb 3.61
Sb: 0.5000 0.5000 0.0000  8 Tm 3.16

***

<B>
# Tm2PaSb

A relaxed structure of Tm2PaSb (PBE, the Alexandria database).

## Properties
Its total magnetic moment is 0.00 Bohr magnetons per cell. The calculation puts the density of states at the Fermi level at 5.49 states/eV/cell. The space group is P4/mmm, No. 123. The density is 11.145 Mg/m³.

Lattice parameters (Å, degrees): 4.7763 4.7763 4.5106 90.00 90.00 90.00
With the nearest neighbours (Å) after each atom.
Fractional positions:
Tm: 0.0000 0.5000 0.0000  4 Pa 3.28, 4 Sb 3.28, 4 Tm 3.38
Tm: 0.5000 0.0000 0.0000  4 Pa 3.28, 4 Sb 3.28, 4 Tm 3.38
Pa: 0.0000 0.0000 0.5000  8 Tm 3.28, 4 Sb 3.38
Sb: 0.5000 0.5000 0.5000  8 Tm 3.28, 4 Pa 3.38

***

<C>
# Tm2PaSb

A relaxed structure of Tm2PaSb (PBE, the Alexandria database).

## Properties
Its total magnetic moment is 0.00 Bohr magnetons per cell. The calculation puts the density of states at the Fermi level at 4.79 states/eV/cell. The space group is R-3m, No. 166. The density is 10.602 Mg/m³.

Lattice parameters (Å, degrees): 10.6333 10.6333 10.6333 18.72 18.72 18.72
With the nearest neighbours (Å) after each atom.
Fractional positions:
Tm: 0.2464 0.2464 0.2464  3 Sb 3.20, 3 Pa 3.38, 6 Tm 3.46
Tm: 0.7536 0.7536 0.7536  3 Sb 3.20, 3 Pa 3.38, 6 Tm 3.46
Pa: 0.0000 0.0000 0.0000  6 Tm 3.38, 6 Pa 3.46
Sb: 0.5000 0.5000 0.5000  6 Tm 3.20, 6 Sb 3.46

***

Which of them is the least stable? Correct choice: <C>.

***

<A>
# UPaSb

A relaxed structure of UPaSb (PBE, the Alexandria database).

## Properties
Its total magnetic moment is 0.00 Bohr magnetons per cell. The calculation puts the density of states at the Fermi level at 5.91 states/eV/cell. The space group is I4mm, No. 107. The density is 14.035 Mg/m³.

Lattice parameters (Å, degrees): 5.7287 5.7287 5.7287 142.28 142.28 54.41
With the nearest neighbours (Å) after each atom.
Fractional positions:
U: 0.0000 0.0000 0.0000  4 Pa 2.83, 1 Sb 3.09
Pa: 0.3959 0.3959 0.0000  4 U 2.83, 1 Sb 3.07
Sb: 0.6969 0.6969 0.0000  5 Pa 3.07-3.31, 5 U 3.09-3.30

***

<B>
# UPaSb

A relaxed structure of UPaSb (PBE, the Alexandria database).

## Properties
Its total magnetic moment is 0.00 Bohr magnetons per cell. The calculation puts the density of states at the Fermi level at 11.88 states/eV/cell. The space group is C2/m, No. 12. The density is 13.802 Mg/m³.

Lattice parameters (Å, degrees): 4.8540 4.8540 6.4718 103.19 103.19 77.10
With the nearest neighbours (Å) after each atom.
Fractional positions:
U: 0.1521 0.1521 0.1389  1 U 2.48, 1 Pa 2.61
U: 0.8479 0.8479 0.8611  1 U 2.48, 1 Pa 2.61
Pa: 0.3296 0.3296 0.8484  1 U 2.61, 1 Pa 2.75
Pa: 0.6704 0.6704 0.1516  1 U 2.61, 1 Pa 2.75
Sb: 0.2535 0.7465 0.5000  2 Sb 2.98-3.07, 4 Pa 3.23-3.27, 4 U 3.27-3.33
Sb: 0.7465 0.2535 0.5000  2 Sb 2.98-3.07, 4 Pa 3.23-3.27, 4 U 3.27-3.33

***

<C>
# UPaSb

A relaxed structure of UPaSb (PBE, the Alexandria database).

## Properties
Its total magnetic moment is 2.44 Bohr magnetons per cell. The calculation puts the density of states at the Fermi level at 7.36 states/eV/cell. The space group is P-6m2, No. 187. The density is 13.952 Mg/m³.

Lattice parameters (Å, degrees): 5.0443 5.0443 3.1911 90.00 90.00 120.00
With the nearest neighbours (Å) after each atom.
Fractional positions:
U: 0.0000 0.0000 0.0000  3 Pa 2.91, 2 U 3.19
Pa: 0.3333 0.6667 0.0000  3 U 2.91, 2 Pa 3.19
Sb: 0.6667 0.3333 0.5000  2 Sb 3.19, 6 U 3.32, 6 Pa 3.32

***

Which of them is the least stable? Correct choice: <C>.

***

<A>
# PaV2Sb

A relaxed structure of PaV2Sb (PBE, the Alexandria database).

## Properties
Its total magnetic moment is 2.57 Bohr magnetons per cell. The calculation puts the density of states at the Fermi level at 5.34 states/eV/cell. The space group is P4/mmm, No. 123. The density is 10.215 Mg/m³.

Lattice parameters (Å, degrees): 4.5349 4.5349 3.5942 90.00 90.00 90.00
With the nearest neighbours (Å) after each atom.
Fractional positions:
Pa: 0.0000 0.0000 0.0000  8 V 2.89, 4 Sb 3.21
V: 0.0000 0.5000 0.5000  4 Pa 2.89, 4 Sb 2.89, 4 V 3.21
V: 0.5000 0.0000 0.5000  4 Pa 2.89, 4 Sb 2.89, 4 V 3.21
Sb: 0.5000 0.5000 0.0000  8 V 2.89, 4 Pa 3.21

***

<B>
# PaV2Sb

A relaxed structure of PaV2Sb (PBE, the Alexandria database).

## Properties
Its total magnetic moment is 0.01 Bohr magnetons per cell. The calculation puts the density of states at the Fermi level at 3.66 states/eV/cell. The space group is Fm-3m, No. 225. The density is 10.513 Mg/m³.

Lattice parameters (Å, degrees): 4.6657 4.6657 4.6657 60.00 60.00 60.00
With the nearest neighbours (Å) after each atom.
Fractional positions:
Pa: 0.0000 0.0000 0.0000  8 V 2.86
V: 0.2500 0.2500 0.2500  4 Sb 2.86, 4 Pa 2.86
V: 0.7500 0.7500 0.7500  4 Sb 2.86, 4 Pa 2.86
Sb: 0.5000 0.5000 0.5000  8 V 2.86

***

Which of them is the least stable? Correct choice: <B>.

***

<A>
# Pa2VSb

A relaxed structure of Pa2VSb (PBE, the Alexandria database).

## Properties
Its total magnetic moment is 1.48 Bohr magnetons per cell. The calculation puts the density of states at the Fermi level at 7.34 states/eV/cell. The space group is P4/mmm, No. 123. The density is 12.031 Mg/m³.

Lattice parameters (Å, degrees): 4.3463 4.3463 4.6380 90.00 90.00 90.00
With the nearest neighbours (Å) after each atom.
Fractional positions:
Pa: 0.0000 0.5000 0.0000  4 Pa 3.07, 4 Sb 3.18, 4 V 3.18
Pa: 0.5000 0.0000 0.0000  4 Pa 3.07, 4 Sb 3.18, 4 V 3.18
V: 0.0000 0.0000 0.5000  4 Sb 3.07, 8 Pa 3.18
Sb: 0.5000 0.5000 0.5000  4 V 3.07, 8 Pa 3.18

***

<B>
# Pa2VSb

A relaxed structure of Pa2VSb (PBE, the Alexandria database).

## Properties
Its total magnetic moment is 2.15 Bohr magnetons per cell. The calculation puts the density of states at the Fermi level at 6.03 states/eV/cell. The space group is R-3m, No. 166. The density is 10.307 Mg/m³.

Lattice parameters (Å, degrees): 7.6546 7.6546 7.6546 30.48 30.48 30.48
With the nearest neighbours (Å) after each atom.
Fractional positions:
Pa: 0.2358 0.2358 0.2358  3 V 2.77
Pa: 0.7642 0.7642 0.7642  3 V 2.77
V: 0.5000 0.5000 0.5000  6 Pa 2.77
Sb: 0.0000 0.0000 0.0000  6 Pa 3.16

***

Which of them is the least stable? Correct choice: <B>.

***

<A>
# YPaSb

A relaxed structure of YPaSb (PBE, the Alexandria database).

## Properties
Its total magnetic moment is 1.67 Bohr magnetons per cell. The calculation puts the density of states at the Fermi level at 5.89 states/eV/cell. The space group is P3m1, No. 156. The density is 8.767 Mg/m³.

Lattice parameters (Å, degrees): 5.2728 5.2728 3.4746 90.00 90.00 120.00
With the nearest neighbours (Å) after each atom.
Fractional positions:
Y: 0.0000 0.0000 0.0000  3 Sb 3.13, 3 Pa 3.47, 2 Y 3.47
Pa: 0.3333 0.6667 0.5187  3 Sb 3.23, 6 Y 3.47-3.54, 2 Pa 3.47
Sb: 0.6667 0.3333 0.2067  3 Y 3.13, 3 Pa 3.23, 2 Sb 3.47

***

<B>
# YPaSb

A relaxed structure of YPaSb (PBE, the Alexandria database).

## Properties
Its total magnetic moment is 1.27 Bohr magnetons per cell. The calculation puts the density of states at the Fermi level at 6.89 states/eV/cell. The space group is P6_3/mmc, No. 194. The density is 9.414 Mg/m³.

Lattice parameters (Å, degrees): 5.3668 5.3668 6.2467 90.00 90.00 120.00
With the nearest neighbours (Å) after each atom.
Fractional positions:
Y: 0.3333 0.6667 0.2500  5 Sb 3.10-3.12, 6 Pa 3.47
Y: 0.6667 0.3333 0.7500  5 Sb 3.10-3.12, 6 Pa 3.47
Pa: 0.0000 0.0000 0.0000  2 Pa 3.12, 6 Sb 3.47, 6 Y 3.47
Pa: 0.0000 0.0000 0.5000  2 Pa 3.12, 6 Y 3.47, 6 Sb 3.47
Sb: 0.3333 0.6667 0.7500  5 Y 3.10-3.12, 6 Pa 3.47
Sb: 0.6667 0.3333 0.2500  5 Y 3.10-3.12, 6 Pa 3.47

***

<C>
# YPaSb

A relaxed structure of YPaSb (PBE, the Alexandria database).

## Properties
Its total magnetic moment is 1.00 Bohr magnetons per cell. The calculation puts the density of states at the Fermi level at 5.62 states/eV/cell. The space group is I4mm, No. 107. The density is 8.764 Mg/m³.

Lattice parameters (Å, degrees): 6.1649 6.1649 6.1649 143.17 143.17 53.08
With the nearest neighbours (Å) after each atom.
Fractional positions:
Y: 0.0000 0.0000 0.0000  4 Sb 3.19, 5 Pa 3.32-3.52
Pa: 0.6989 0.6989 0.0000  4 Sb 3.24, 5 Y 3.32-3.52
Sb: 0.3536 0.3536 0.0000  4 Y 3.19, 4 Pa 3.24

***

Which of them is the least stable? Correct choice: <A>.

***

<A>
# PaZn2Sb

A relaxed structure of PaZn2Sb (PBE, the Alexandria database).

## Properties
Its total magnetic moment is 0.56 Bohr magnetons per cell. The calculation puts the density of states at the Fermi level at 5.25 states/eV/cell. The space group is R-3m, No. 166. The density is 9.328 Mg/m³.

Lattice parameters (Å, degrees): 5.4017 5.4017 5.4017 50.36 50.36 50.36
With the nearest neighbours (Å) after each atom.
Fractional positions:
Pa: 0.0000 0.0000 0.0000  8 Zn 3.00-3.31
Zn: 0.2349 0.2349 0.2349  3 Sb 2.82, 3 Pa 3.00
Zn: 0.7651 0.7651 0.7651  3 Sb 2.82, 3 Pa 3.00
Sb: 0.5000 0.5000 0.5000  6 Zn 2.82

***

<B>
# PaZn2Sb

A relaxed structure of PaZn2Sb (PBE, the Alexandria database).

## Properties
Its total magnetic moment is 0.00 Bohr magnetons per cell. The calculation puts the density of states at the Fermi level at 4.49 states/eV/cell. The space group is P4/mmm, No. 123. The density is 9.347 Mg/m³.

Lattice parameters (Å, degrees): 4.3546 4.3546 4.5311 90.00 90.00 90.00
With the nearest neighbours (Å) after each atom.
Fractional positions:
Pa: 0.0000 0.0000 0.0000  4 Sb 3.08, 8 Zn 3.14
Zn: 0.0000 0.5000 0.5000  4 Zn 3.08, 4 Pa 3.14, 4 Sb 3.14
Zn: 0.5000 0.0000 0.5000  4 Zn 3.08, 4 Pa 3.14, 4 Sb 3.14
Sb: 0.5000 0.5000 0.0000  4 Pa 3.08, 8 Zn 3.14

***

Which of them is the least stable? Correct choice: <A>.

***

<A>
# ZrPaSb

A relaxed structure of ZrPaSb (PBE, the Alexandria database).

## Properties
Its total magnetic moment is 0.04 Bohr magnetons per cell. The calculation puts the density of states at the Fermi level at 3.90 states/eV/cell. The space group is I4mm, No. 107. The density is 9.803 Mg/m³.

Lattice parameters (Å, degrees): 6.1233 6.1233 6.1233 144.99 144.99 50.36
With the nearest neighbours (Å) after each atom.
Fractional positions:
Zr: 0.0000 0.0000 0.0000  4 Sb 2.96
Pa: 0.6891 0.6891 0.0000  5 Sb 3.31-3.50, 5 Zr 3.34-3.45, 4 Pa 3.68
Sb: 0.3731 0.3731 0.0000  4 Zr 2.96, 4 Pa 3.31

***

<B>
# ZrPaSb

A relaxed structure of ZrPaSb (PBE, the Alexandria database).

## Properties
Its total magnetic moment is 0.01 Bohr magnetons per cell. The calculation puts the density of states at the Fermi level at 7.16 states/eV/cell. The space group is P-6m2, No. 187. The density is 9.876 Mg/m³.

Lattice parameters (Å, degrees): 5.1055 5.1055 3.3073 90.00 90.00 120.00
With the nearest neighbours (Å) after each atom.
Fractional positions:
Zr: 0.0000 0.0000 0.0000  3 Sb 2.95
Pa: 0.3333 0.6667 0.5000  2 Pa 3.31, 6 Zr 3.38, 6 Sb 3.38
Sb: 0.6667 0.3333 0.0000  3 Zr 2.95

***

<C>
# ZrPaSb

A relaxed structure of ZrPaSb (PBE, the Alexandria database).

## Properties
Its total magnetic moment is 0.00 Bohr magnetons per cell. The calculation puts the density of states at the Fermi level at 7.21 states/eV/cell. The space group is C2/m, No. 12. The density is 10.231 Mg/m³.

Lattice parameters (Å, degrees): 4.1403 4.1403 8.4076 90.04 90.04 90.00
With the nearest neighbours (Å) after each atom.
Fractional positions:
Zr: 0.2492 0.2492 0.1473  5 Sb 2.95-2.97
Zr: 0.7508 0.7508 0.8527  5 Sb 2.95-2.97
Pa: 0.2499 0.7501 0.5000  4 Pa 2.93, 4 Sb 3.24
Pa: 0.7501 0.2499 0.5000  4 Pa 2.93, 4 Sb 3.24
Sb: 0.2506 0.2506 0.7963  5 Zr 2.95-2.97, 4 Pa 3.24
Sb: 0.7494 0.7494 0.2037  5 Zr 2.95-2.97, 4 Pa 3.24

***

Which of them is the least stable? Correct choice: <B>.